This record from Alexandria via LeMat-Bulk describes BMo2C after structural relaxation. The functional is PBEsol.

abc: 8.812 8.812 3.045
angles: 90.00 90.00 159.88
Fractional coordinates of all 8 atoms:
B 0.028 0.972 0.750
B 0.972 0.028 0.250
Mo 0.186 0.814 0.750
Mo 0.428 0.572 0.750
Mo 0.572 0.428 0.250
Mo 0.814 0.186 0.250
C 0.309 0.691 0.750
C 0.691 0.309 0.250

DOS(E_F) (states/eV per atom): 0.335
Final energy (eV per cell): -83.2
SG: No. 63


This record from Alexandria via LeMat-Bulk describes BMoPtC2 after structural relaxation. The functional is PBEsol.

abc: 3.854 3.854 4.157
angles: 90.00 90.00 90.00
Fractional coordinates of all 5 atoms:
B 0.000 0.000 0.000
Mo 0.500 0.500 0.000
Pt 0.000 0.000 0.500
C 0.000 0.500 0.500
C 0.500 0.000 0.500

DOS(E_F) (states/eV per atom): 1.044
Final energy (eV per cell): -33.5
SG: No. 123


This record from Alexandria via LeMat-Bulk describes YB2MoC after structural relaxation. The functional is PBEsol.

abc: 4.112 4.112 4.050
angles: 90.00 90.00 90.00
Fractional coordinates of all 5 atoms:
Y 0.000 0.000 0.000
B 0.000 0.500 0.500
B 0.500 0.000 0.500
Mo 0.500 0.500 0.500
C 0.500 0.500 0.000

DOS(E_F) (states/eV per atom): 0.345
Final energy (eV per cell): -39.9
SG: No. 123